Li2TlCd2Ag2 | PBE | optimized geometry

Unit cell a=4.375 b=5.028 c=7.071 alpha=77.95 beta=90.00 gamma=115.79
Fractional positions:
Li 0.291 0.582 0.659
Li 0.709 0.418 0.341
Ag 0.859 0.717 0.934
Ag 0.141 0.283 0.066
Tl 0.000 0.000 0.500
Cd 0.414 0.828 0.213
Cd 0.586 0.172 0.787

Values from the calculation:
The formation energy is -151 meV per atom. For the mass density, the calculation gives 8.03 Mg/m³. The density of states at the Fermi level is 0.281 states/eV per atom. The crystal system is monoclinic. The value obtained for the size of the total moment is 0.00 μB/f.u.

---

Cd7InAg4 | PBE | optimized geometry

Unit cell a=5.281 b=8.847 c=6.786 alpha=81.85 beta=67.10 gamma=72.64
Fractional positions:
Cd 0.068 0.650 0.214
Cd 0.500 0.000 0.000
Cd 0.216 0.120 0.448
Cd 0.932 0.350 0.786
Cd 0.652 0.423 0.273
Cd 0.784 0.880 0.552
Cd 0.348 0.577 0.727
In 0.000 0.000 0.000
Ag 0.573 0.220 0.634
Ag 0.703 0.665 0.928
Ag 0.427 0.780 0.366
Ag 0.297 0.335 0.072

Values from the calculation:
The formation energy is 98 meV per atom. For the mass density, the calculation gives 7.94 Mg/m³. The density of states at the Fermi level is 0.374 states/eV per atom. The crystal system is monoclinic. The value obtained for the size of the total moment is 0.00 μB/f.u. As for the polymorph energy (0 for the lowest one): 106 kJ/mol of formula units.

---

IrAu2Cl | PBE | optimized geometry

Unit cell a=3.043 b=3.043 c=7.835 alpha=90.00 beta=90.00 gamma=90.00
Last column: magnetic moment on the atom in μB.
Fractional positions:
Ir 0.500 0.500 0.750  1.03
Au 0.000 0.000 0.980  0.13
Au 0.000 0.000 0.520  0.13
Cl 0.500 0.500 0.250  0.06

Values from the calculation:
For the mass density, the calculation gives 14.23 Mg/m³. The density of states at the Fermi level is 0.900 states/eV per atom. The crystal system is tetragonal. The value obtained for the size of the total moment is 1.37 μB/f.u. As for the polymorph energy (0 for the lowest one): 64 kJ/mol of formula units. The energy relative to the elements, uncorrected comes out at 514 meV per atom.